Crystalline Sc2BeCuP at its relaxed geometry. Source: the Alexandria database, functional GGA-PBEsol.

Cell lengths 3.856, 4.867, 4.867 Å; angles 90.00, 90.00, 90.00 degrees
Sites, in units of the cell vectors:
Sc  0.000  0.000  0.500
Sc  0.000  0.500  0.000
P  0.000  0.000  0.000
Cu  0.500  0.500  0.500
Be  0.500  0.000  0.000

Values from the calculation:
uncorrected energy = -5.60 eV/atom
ΔH_f (0 K) = -0.13 eV per atom
volume = 91.3 Å³ per cell



Crystalline V2Co21B6 at its relaxed geometry. Source: the Alexandria database, functional GGA-PBEsol.

Cell lengths 7.250, 7.250, 7.250 Å; angles 60.00, 60.00, 60.00 degrees
Last column: magnetic moment on the atom in μB.
Sites, in units of the cell vectors:
V  0.750  0.750  0.750  -0.45
V  0.250  0.250  0.250  -0.45
Co  0.000  0.000  0.000  1.47
Co  0.620  0.140  0.620  0.48
Co  0.620  0.620  0.140  0.48
Co  0.620  0.620  0.620  0.48
Co  0.140  0.620  0.620  0.48
Co  0.380  0.860  0.380  0.48
Co  0.380  0.380  0.860  0.48
Co  0.380  0.380  0.380  0.48
Co  0.860  0.380  0.380  0.48
Co  0.662  0.338  0.000  1.10
Co  0.000  0.338  0.000  1.10
Co  0.000  0.338  0.662  1.10
Co  0.000  0.000  0.338  1.10
Co  0.662  0.000  0.338  1.10
Co  0.000  0.662  0.338  1.10
Co  0.000  0.000  0.662  1.10
Co  0.000  0.662  0.000  1.10
Co  0.662  0.000  0.000  1.10
Co  0.338  0.662  0.000  1.10
Co  0.338  0.000  0.662  1.10
Co  0.338  0.000  0.000  1.10
B  0.275  0.275  0.725  -0.06
B  0.725  0.275  0.725  -0.06
B  0.725  0.275  0.275  -0.06
B  0.725  0.725  0.275  -0.06
B  0.275  0.725  0.275  -0.06
B  0.275  0.725  0.725  -0.06

Values from the calculation:
uncorrected energy = -8.01 eV/atom
ΔH_f (0 K) = -0.29 eV per atom
volume = 269.5 Å³ per cell



Crystalline BeCuSe2 at its relaxed geometry. Source: the Alexandria database, functional GGA-PBEsol.

Cell lengths 2.767, 4.693, 4.693 Å; angles 90.00, 90.00, 90.00 degrees
Sites, in units of the cell vectors:
Be  0.500  0.000  0.000
Cu  0.500  0.500  0.500
Se  0.000  0.500  0.000
Se  0.000  0.000  0.500

Values from the calculation:
uncorrected energy = -3.62 eV/atom
volume = 60.9 Å³ per cell



Crystalline HgPb2Au at its relaxed geometry. Source: the Alexandria database, functional GGA-PBEsol.

Cell lengths 3.758, 3.758, 8.740 Å; angles 77.58, 77.58, 60.00 degrees
Sites, in units of the cell vectors:
Pb  0.242  0.242  0.273
Pb  0.758  0.758  0.727
Au  0.500  0.500  0.500
Hg  0.000  0.000  0.000

Values from the calculation:
uncorrected energy = -3.12 eV/atom
ΔH_f (0 K) = 0.01 eV per atom
volume = 103.6 Å³ per cell